{"formula": "Ba7Cu3H17", "functional": "GGA-PBE", "state": "optimized geometry", "lattice_angstrom": [[11.6737, 0.0000, 0.0000], [-5.8368, 10.1097, 0.0000], [0.0000, 0.0000, 7.4388]], "species": ["Ba", "Ba", "Ba", "Ba", "Ba", "Ba", "Ba", "Ba", "Ba", "Ba", "Ba", "Ba", "Ba", "Ba", "Cu", "Cu", "Cu", "Cu", "Cu", "Cu", "H", "H", "H", "H", "H", "H", "H", "H", "H", "H", "H", "H", "H", "H", "H", "H", "H", "H", "H", "H", "H", "H", "H", "H", "H", "H", "H", "H", "H", "H", "H", "H", "H", "H"], "frac_coords": [[0.1031, 0.5438, 0.0000], [0.1229, 0.2711, 0.6462], [0.1482, 0.8771, 0.6462], [0.2711, 0.1229, 0.1462], [0.3333, 0.6667, 0.4809], [0.4408, 0.8969, 0.0000], [0.4562, 0.5592, 0.0000], [0.5438, 0.1031, 0.5000], [0.5592, 0.4562, 0.5000], [0.6667, 0.3333, 0.9809], [0.7289, 0.8518, 0.6462], [0.8518, 0.7289, 0.1462], [0.8771, 0.1482, 0.1462], [0.8969, 0.4408, 0.5000], [0.1598, 0.8180, 0.2339], [0.1820, 0.3418, 0.2339], [0.3418, 0.1820, 0.7339], [0.6582, 0.8402, 0.2339], [0.8180, 0.1598, 0.7339], [0.8402, 0.6582, 0.7339], [0.0806, 0.6707, 0.3256], [0.0838, 0.9004, 0.2992], [0.0904, 0.3988, 0.3204], [0.0996, 0.1834, 0.2992], [0.1248, 0.4977, 0.6591], [0.1683, 0.8187, 0.0129], [0.1813, 0.3496, 0.0129], [0.1834, 0.0996, 0.7992], [0.3084, 0.9096, 0.3204], [0.3293, 0.4099, 0.3256], [0.3333, 0.6667, 0.1460], [0.3333, 0.6667, 0.8363], [0.3496, 0.1813, 0.5129], [0.3729, 0.8752, 0.6591], [0.3988, 0.0904, 0.8204], [0.4099, 0.3293, 0.8256], [0.4977, 0.1248, 0.1591], [0.5023, 0.6271, 0.6591], [0.5901, 0.9194, 0.3256], [0.6012, 0.6916, 0.3204], [0.6271, 0.5023, 0.1591], [0.6504, 0.8317, 0.0129], [0.6667, 0.3333, 0.3363], [0.6667, 0.3333, 0.6460], [0.6707, 0.0806, 0.8256], [0.6916, 0.6012, 0.8204], [0.8166, 0.9162, 0.2992], [0.8187, 0.1683, 0.5129], [0.8317, 0.6504, 0.5129], [0.8752, 0.3729, 0.1591], [0.9004, 0.0838, 0.7992], [0.9096, 0.3084, 0.8204], [0.9162, 0.8166, 0.7992], [0.9194, 0.5901, 0.8256]], "energy_ev_per_atom": -3.4414}


{"formula": "Li2IrAuN", "functional": "GGA-PBE", "state": "optimized geometry", "lattice_angstrom": [[4.1317, 0.0000, 0.0000], [0.0000, 4.1317, 0.0000], [0.0000, 0.0000, 3.7777]], "species": ["Li", "Li", "Ir", "Au", "N"], "frac_coords": [[0.0000, 0.5000, 0.0000], [0.5000, 0.0000, 0.0000], [0.0000, 0.0000, 0.5000], [0.5000, 0.5000, 0.5000], [0.0000, 0.0000, 0.0000]], "energy_ev_per_atom": -5.2062}


{"formula": "TbSnPO", "functional": "GGA-PBE", "state": "optimized geometry", "lattice_angstrom": [[4.0854, 0.0000, 0.0000], [0.0000, 4.0854, 0.0000], [0.0000, 0.0000, 9.7383]], "species": ["Tb", "Tb", "Sn", "Sn", "P", "P", "O", "O"], "frac_coords": [[0.2500, 0.2500, 0.1057], [0.7500, 0.7500, 0.8943], [0.2500, 0.7500, 0.5000], [0.7500, 0.2500, 0.5000], [0.2500, 0.2500, 0.7241], [0.7500, 0.7500, 0.2759], [0.2500, 0.7500, 0.0000], [0.7500, 0.2500, 0.0000]], "de_polymorph_ev_per_atom": 0.0624}


{"formula": "Er2TmMg3CuIr2", "functional": "GGA-PBE", "state": "optimized geometry", "lattice_angstrom": [[3.9192, 0.0000, 0.0000], [0.0000, 6.3507, 3.6713], [0.0000, -6.3507, 3.6713]], "species": ["Er", "Er", "Tm", "Mg", "Mg", "Mg", "Cu", "Ir", "Ir"], "frac_coords": [[0.0000, 0.2079, 0.7921], [0.0000, 0.7921, 0.2079], [0.0000, 0.6235, 0.6235], [0.5000, 0.2082, 0.4567], [0.5000, 0.4567, 0.2082], [0.5000, 0.9589, 0.9589], [0.0000, 0.2083, 0.2083], [0.5000, 0.5414, 0.8738], [0.5000, 0.8738, 0.5414]], "energy_ev_per_atom": -4.9590}


{"formula": "OsSeS3Cl4", "functional": "GGA-PBE", "state": "optimized geometry", "lattice_angstrom": [[9.2261, 0.0000, 0.0000], [0.0000, 8.8611, 0.0000], [-3.1706, 0.0000, 11.3064]], "species": ["Os", "Os", "Os", "Os", "Se", "Se", "Se", "Se", "S", "S", "S", "S", "S", "S", "S", "S", "S", "S", "S", "S", "Cl", "Cl", "Cl", "Cl", "Cl", "Cl", "Cl", "Cl", "Cl", "Cl", "Cl", "Cl", "Cl", "Cl", "Cl", "Cl"], "frac_coords": [[0.0475, 0.0000, 0.2212], [0.3182, 0.1392, 0.2901], [0.6818, 0.6392, 0.7099], [0.9525, 0.5000, 0.7788], [0.0098, 0.4249, 0.1246], [0.4847, 0.5016, 0.7870], [0.5153, 0.0016, 0.2130], [0.9902, 0.9249, 0.8754], [0.0522, 0.6688, 0.6790], [0.1420, 0.1721, 0.1189], [0.1615, 0.8373, 0.7868], [0.1653, 0.5051, 0.2986], [0.2233, 0.3128, 0.3932], [0.2419, 0.9397, 0.3810], [0.7581, 0.4397, 0.6190], [0.7767, 0.8128, 0.6068], [0.8347, 0.0051, 0.7014], [0.8385, 0.3373, 0.2132], [0.8580, 0.6721, 0.8811], [0.9478, 0.1688, 0.3210], [0.0861, 0.3064, 0.7048], [0.1320, 0.7956, 0.1145], [0.1754, 0.4994, 0.9437], [0.1981, 0.0011, 0.5406], [0.4272, 0.9918, 0.0182], [0.4449, 0.6116, 0.5548], [0.4644, 0.3223, 0.2157], [0.4868, 0.2603, 0.7442], [0.5132, 0.7603, 0.2558], [0.5356, 0.8223, 0.7843], [0.5551, 0.1116, 0.4452], [0.5728, 0.4918, 0.9818], [0.8019, 0.5011, 0.4594], [0.8246, 0.9994, 0.0563], [0.8680, 0.2956, 0.8855], [0.9139, 0.8064, 0.2952]], "energy_ev_per_atom": -4.1326}


{"formula": "Ag2HgI2Br2", "functional": "GGA-PBE", "state": "optimized geometry", "lattice_angstrom": [[4.4328, -6.3110, 0.0000], [4.4328, 6.3110, 0.0000], [-4.4244, 0.0000, 4.5552]], "species": ["Ag", "Ag", "Hg", "I", "I", "Br", "Br"], "frac_coords": [[0.0000, 0.0000, 0.0000], [0.7574, 0.2426, 0.5000], [0.5033, 0.4967, 0.0000], [0.3660, 0.0948, 0.4978], [0.9052, 0.6340, 0.5022], [0.1318, 0.3845, 0.0099], [0.6155, 0.8682, 0.9901]], "de_polymorph_ev_per_atom": 0.0020}